No. 1
## La12InSn4N3 (GGA-PBE)

Data for a geometry-optimized La12InSn4N3 structure.

For the uncorrected formation energy, the calculation gives -0.716 eV/atom. For the final energy, the calculation gives -117.177 eV for the cell shown. As for the space group: No. 229.

Unit cell a=9.1832 b=9.1832 c=9.1832 alpha=109.47 beta=109.47 gamma=109.47
Positions (direct):
La  0.0000  0.2775  0.2775
La  0.0000  0.7225  0.7225
La  0.2500  0.5000  0.7500
La  0.2500  0.7500  0.5000
La  0.2775  0.0000  0.2775
La  0.2775  0.2775  0.0000
La  0.5000  0.2500  0.7500
La  0.5000  0.7500  0.2500
La  0.7225  0.0000  0.7225
La  0.7225  0.7225  0.0000
La  0.7500  0.2500  0.5000
La  0.7500  0.5000  0.2500
In  0.0000  0.0000  0.0000
Sn  0.0000  0.0000  0.5000
Sn  0.0000  0.5000  0.0000
Sn  0.5000  0.0000  0.0000
Sn  0.5000  0.5000  0.5000
N  0.0000  0.5000  0.5000
N  0.5000  0.0000  0.5000
N  0.5000  0.5000  0.0000

=====

No. 2
## Sr2LaInN (GGA-PBE)

Data for a geometry-optimized Sr2LaInN structure.

For the uncorrected formation energy, the calculation gives -0.653 eV/atom. For the final energy, the calculation gives -22.619 eV for the cell shown. As for the space group: No. 123.

Unit cell a=5.4170 b=5.4170 c=4.9432 alpha=90.00 beta=90.00 gamma=90.00
Positions (direct):
Sr  0.0000  0.5000  0.0000
Sr  0.5000  0.0000  0.0000
La  0.0000  0.0000  0.5000
In  0.5000  0.5000  0.5000
N  0.0000  0.0000  0.0000

=====

No. 3
## SrLa12In4N3 (GGA-PBE)

Data for a geometry-optimized SrLa12In4N3 structure.

For the uncorrected formation energy, the calculation gives -0.516 eV/atom. For the final energy, the calculation gives -107.068 eV for the cell shown. As for the space group: No. 229.

Unit cell a=9.0594 b=9.0594 c=9.0594 alpha=109.47 beta=109.47 gamma=109.47
Positions (direct):
Sr  0.0000  0.0000  0.0000
La  0.0000  0.2751  0.2751
La  0.0000  0.7249  0.7249
La  0.2500  0.5000  0.7500
La  0.2500  0.7500  0.5000
La  0.2751  0.0000  0.2751
La  0.2751  0.2751  0.0000
La  0.5000  0.2500  0.7500
La  0.5000  0.7500  0.2500
La  0.7249  0.0000  0.7249
La  0.7249  0.7249  0.0000
La  0.7500  0.2500  0.5000
La  0.7500  0.5000  0.2500
In  0.0000  0.0000  0.5000
In  0.0000  0.5000  0.0000
In  0.5000  0.0000  0.0000
In  0.5000  0.5000  0.5000
N  0.0000  0.5000  0.5000
N  0.5000  0.0000  0.5000
N  0.5000  0.5000  0.0000

=====

No. 4
## LaTb2InN (GGA-PBE)

Data for a geometry-optimized LaTb2InN structure.

For the uncorrected formation energy, the calculation gives -0.920 eV/atom. For the final energy, the calculation gives -29.851 eV for the cell shown. As for the space group: No. 123.

Unit cell a=4.8997 b=4.8997 c=5.0708 alpha=90.00 beta=90.00 gamma=90.00
Positions (direct):
La  0.0000  0.0000  0.0000
Tb  0.0000  0.5000  0.5000
Tb  0.5000  0.0000  0.5000
In  0.5000  0.5000  0.0000
N  0.0000  0.0000  0.5000

=====

No. 5
## LaTbInN3 (GGA-PBE)

Data for a geometry-optimized LaTbInN3 structure.

For the uncorrected formation energy, the calculation gives -0.779 eV/atom. For the final energy, the calculation gives -83.892 eV for the cell shown. As for the space group: No. 11.

Unit cell a=6.7697 b=3.4439 c=9.5085 alpha=90.00 beta=94.16 gamma=90.00
Positions (direct):
La  0.1906  0.2500  0.2427
La  0.8094  0.7500  0.7573
Tb  0.3367  0.7500  0.8911
Tb  0.6633  0.2500  0.1089
In  0.1651  0.2500  0.5909
In  0.8349  0.7500  0.4091
N  0.1123  0.2500  0.8137
N  0.1943  0.7500  0.4537
N  0.3983  0.7500  0.1287
N  0.6017  0.2500  0.8713
N  0.8057  0.2500  0.5463
N  0.8877  0.7500  0.1863

=====

No. 6
## La2ThInN (GGA-PBE)

Data for a geometry-optimized La2ThInN structure.

For the uncorrected formation energy, the calculation gives -0.844 eV/atom. For the final energy, the calculation gives -32.560 eV for the cell shown. As for the space group: No. 123.

Unit cell a=5.1808 b=5.1808 c=4.9124 alpha=90.00 beta=90.00 gamma=90.00
Positions (direct):
La  0.0000  0.5000  0.0000
La  0.5000  0.0000  0.0000
Th  0.0000  0.0000  0.5000
In  0.5000  0.5000  0.5000
N  0.0000  0.0000  0.0000

=====

No. 7
## LaTh2InN (GGA-PBE)

Data for a geometry-optimized LaTh2InN structure.

For the uncorrected formation energy, the calculation gives -0.786 eV/atom. For the final energy, the calculation gives -34.760 eV for the cell shown. As for the space group: No. 123.

Unit cell a=4.9707 b=4.9707 c=5.2168 alpha=90.00 beta=90.00 gamma=90.00
Positions (direct):
La  0.0000  0.0000  0.0000
Th  0.0000  0.5000  0.5000
Th  0.5000  0.0000  0.5000
In  0.5000  0.5000  0.0000
N  0.0000  0.0000  0.5000

=====

No. 8
## La2TiInN (GGA-PBE)

Data for a geometry-optimized La2TiInN structure.

For the uncorrected formation energy, the calculation gives -0.169 eV/atom. For the final energy, the calculation gives -29.657 eV for the cell shown. The energy above the lowest structure with this stoichiometry is 623 meV per atom. As for the space group: No. 123.

Unit cell a=4.9546 b=4.9546 c=4.8768 alpha=90.00 beta=90.00 gamma=90.00
Positions (direct):
La  0.0000  0.5000  0.0000
La  0.5000  0.0000  0.0000
Ti  0.0000  0.0000  0.5000
In  0.5000  0.5000  0.5000
N  0.5000  0.5000  0.0000

=====

No. 9
## La2TiInN (GGA-PBE)

Data for a geometry-optimized La2TiInN structure.

For the uncorrected formation energy, the calculation gives -0.792 eV/atom. For the final energy, the calculation gives -32.773 eV for the cell shown. The energy above the lowest structure with this stoichiometry is 0 meV per atom. As for the space group: No. 123.

Unit cell a=5.3660 b=5.3660 c=4.0924 alpha=90.00 beta=90.00 gamma=90.00
Positions (direct):
La  0.0000  0.5000  0.0000
La  0.5000  0.0000  0.0000
Ti  0.0000  0.0000  0.5000
In  0.5000  0.5000  0.5000
N  0.0000  0.0000  0.0000

=====

No. 10
## La2YInN (GGA-PBE)

Data for a geometry-optimized La2YInN structure.

For the uncorrected formation energy, the calculation gives -0.898 eV/atom. For the final energy, the calculation gives -31.875 eV for the cell shown. As for the space group: No. 123.

Unit cell a=5.1326 b=5.1326 c=4.8838 alpha=90.00 beta=90.00 gamma=90.00
Positions (direct):
La  0.0000  0.5000  0.0000
La  0.5000  0.0000  0.0000
Y  0.0000  0.0000  0.5000
In  0.5000  0.5000  0.5000
N  0.0000  0.0000  0.0000

=====

No. 11
## La2ZrInN (GGA-PBE)

Data for a geometry-optimized La2ZrInN structure.

For the uncorrected formation energy, the calculation gives -0.788 eV/atom. For the final energy, the calculation gives -33.407 eV for the cell shown. As for the space group: No. 123.

Unit cell a=5.2115 b=5.2115 c=4.4924 alpha=90.00 beta=90.00 gamma=90.00
Positions (direct):
La  0.0000  0.5000  0.0000
La  0.5000  0.0000  0.0000
Zr  0.0000  0.0000  0.5000
In  0.5000  0.5000  0.5000
N  0.0000  0.0000  0.0000

=====

No. 12
## LaZr2InN (GGA-PBE)

Data for a geometry-optimized LaZr2InN structure.

For the uncorrected formation energy, the calculation gives -0.729 eV/atom. For the final energy, the calculation gives -36.735 eV for the cell shown. As for the space group: No. 123.

Unit cell a=4.5831 b=4.5831 c=5.0858 alpha=90.00 beta=90.00 gamma=90.00
Positions (direct):
La  0.0000  0.0000  0.0000
Zr  0.0000  0.5000  0.5000
Zr  0.5000  0.0000  0.5000
In  0.5000  0.5000  0.0000
N  0.0000  0.0000  0.5000